Entry 1:
Material: PmNdTm2Tl4
Method: DFT, GGA-PBE
State: relaxed

## Properties
symmetry	No. 166

```
PmNdTm2Tl4
1.0
-4.168 3.303 -0.967
-3.851 -1.462 -3.500
-7.214 -3.188 5.094
Pm Nd Tm Tl
1 1 2 4
direct
0.500 0.500 0.500
0.000 0.000 0.000
0.750 0.750 0.750
0.250 0.250 0.250
0.375 0.375 0.874
0.875 0.875 0.376
0.125 0.125 0.624
0.625 0.625 0.126
```

---

Entry 2:
Material: Pm6Nd3Tm2Tl
Method: DFT, GGA-PBE
State: relaxed

## Properties
symmetry	No. 12

```
Pm6Nd3Tm2Tl
1.0
-6.196 -0.679 -0.696
3.398 -4.561 2.644
-0.738 6.583 9.771
Pm Nd Tm Tl
6 3 2 1
direct
0.921 0.594 0.758
0.752 0.752 0.244
0.079 0.406 0.242
0.594 0.921 0.758
0.248 0.248 0.756
0.406 0.079 0.242
0.169 0.831 0.500
0.831 0.169 0.500
0.500 0.500 0.500
0.334 0.666 0.000
0.666 0.334 0.000
0.000 0.000 0.000
```

---

Entry 3:
Material: Pm2NdYTl2
Method: DFT, GGA-PBE
State: relaxed

## Properties
symmetry	No. 26

```
Pm2NdYTl2
1.0
5.220 0.000 0.000
0.000 6.909 0.000
0.000 0.000 10.230
Pm Nd Y Tl
4 2 2 4
direct
0.500 0.053 0.045
0.000 0.330 0.182
0.500 0.553 0.955
0.000 0.830 0.818
0.000 0.961 0.457
0.000 0.461 0.543
0.500 0.182 0.688
0.500 0.682 0.312
0.000 0.297 0.859
0.500 0.222 0.369
0.000 0.797 0.141
0.500 0.722 0.631
```

---

Number 1: energy relative to the elements -337 meV per atom. Number 2: energy relative to the elements -4 meV per atom. Number 3: energy relative to the elements -283 meV per atom.